The following is a PBE with a Hubbard U calculation of a relaxed KMnSn3O8 crystal, from Alexandria via LeMat-Bulk.

## Properties
Energy (eV/cell): -163.4
Crystal system: monoclinic

Unit cell a=10.5233 b=3.2358 c=14.8079 alpha=90.00 beta=134.51 gamma=90.00
With the nearest neighbours (Å) after each atom.
Space group Pc (No. 7)
Symmetry-distinct sites (fractional):
K 0.0000 0.1763 0.0000 (multiplicity 2)  6 O 2.91-3.17, 2 K 3.24
Mn 0.8272 0.2472 0.1444 (multiplicity 2)  5 O 1.95-2.14
Sn 0.1810 0.2765 0.8365 (multiplicity 2)  6 O 2.07-2.13
Sn 0.5045 0.2595 0.3353 (multiplicity 2)  6 O 2.06-2.17
Sn 0.5308 0.2268 0.6568 (multiplicity 2)  6 O 2.00-2.16
O 0.0508 0.2201 0.3365 (multiplicity 2)  1 Mn 2.06, 2 Sn 2.11-2.13
O 0.3050 0.2278 0.3310 (multiplicity 2)  3 Sn 2.06-2.13
O 0.3734 0.2372 0.6996 (multiplicity 2)  3 Sn 2.15-2.17
O 0.3799 0.2748 0.0332 (multiplicity 2)  3 Sn 2.08-2.10
O 0.6417 0.2420 0.9556 (multiplicity 2)  1 Mn 1.99, 2 Sn 2.06-2.07
O 0.6596 0.2706 0.2920 (multiplicity 2)  3 Sn 2.13-2.16
O 0.7167 0.2159 0.6526 (multiplicity 2)  2 Mn 1.95-2.14, 1 Sn 2.00
O 0.9617 0.3282 0.6438 (multiplicity 2)  1 Mn 1.98, 1 Sn 2.07